# 1
This record from Alexandria describes a relaxed Al3Ga2Ag2 crystal. The functional is PBE-GGA.

Cell: 4.104 4.817 6.651 Å, 94.72 92.02 111.05°
Space group P-1 (No. 2)
Inequivalent atoms, fractional coordinates:
Al 0.000 0.000 0.000
Al 0.278 0.566 0.859
Ga 0.148 0.290 0.425
Ag 0.439 0.862 0.274

Computed properties:
As for the formation energy: 0.18 eV/f.u. For the energy above the most stable polymorph in this dataset, the calculation gives 0 meV per atom. The magnetic moment is 0.00 μB/f.u. The calculation puts the final energy at -22.806 eV for the cell shown.


# 2
This record from Alexandria describes a relaxed Al2Ga2Ag7 crystal. The functional is PBE-GGA.

Cell: 4.428 12.778 6.827 Å, 90.00 90.00 90.00°
Space group Imm2 (No. 44)
Inequivalent atoms, fractional coordinates:
Al 0.000 0.000 0.000
Al 0.000 0.500 0.201
Ga 0.000 0.192 0.219
Ag 0.000 0.000 0.406
Ag 0.000 0.156 0.717
Ag 0.000 0.349 0.935
Ag 0.000 0.363 0.502

Computed properties:
As for the formation energy: -0.12 eV/f.u. For the energy above the most stable polymorph in this dataset, the calculation gives 0 meV per atom. The magnetic moment is 0.00 μB/f.u. The calculation puts the final energy at -67.229 eV for the cell shown.


# 3
This record from Alexandria describes a relaxed Al12Ga3Ag crystal. The functional is PBE-GGA.

Cell: 5.018 5.018 11.091 Å, 90.00 90.00 90.00°
Space group P4/mmm (No. 123)
Inequivalent atoms, fractional coordinates:
Al 0.000 0.000 0.000
Al 0.000 0.000 0.249
Al 0.000 0.000 0.500
Al 0.000 0.500 0.125
Al 0.000 0.500 0.374
Ga 0.500 0.500 0.250
Ga 0.500 0.500 0.500
Ag 0.500 0.500 0.000

Computed properties:
As for the formation energy: 1.14 eV/f.u. The magnetic moment is 0.00 μB/f.u. The calculation puts the final energy at -55.699 eV for the cell shown.


# 4
This record from Alexandria describes a relaxed AlGaAg2 crystal. The functional is PBE-GGA.

Cell: 2.908 2.908 8.297 Å, 90.00 90.00 90.00°
Space group P4/mmm (No. 123)
Inequivalent atoms, fractional coordinates:
Al 0.000 0.000 0.000
Ga 0.000 0.000 0.500
Ag 0.500 0.500 0.233

Computed properties:
As for the formation energy: 0.04 eV/f.u. For the energy above the most stable polymorph in this dataset, the calculation gives 56 meV per atom. The magnetic moment is 0.00 μB/f.u. The calculation puts the final energy at -12.435 eV for the cell shown.


# 5
This record from Alexandria describes a relaxed Al8Ga6Ag crystal. The functional is PBE-GGA.

Cell: 8.3729 8.3729 13.5307 Å, 90.00 90.00 120.00°
Space group R-3 (No. 148, hexagonal axes)
Inequivalent atoms, fractional coordinates:
Al 0.0000 0.0000 0.2148
Al 0.0367 0.4170 0.5744
Ga 0.0332 0.2139 0.4100
Ag 0.0000 0.0000 0.0000

Computed properties:
As for the formation energy: 1.20 eV/f.u. For the energy above the most stable polymorph in this dataset, the calculation gives 0 meV per atom. The magnetic moment is 0.00 μB/f.u. The calculation puts the final energy at -149.249 eV for the cell shown.


# 6
This record from Alexandria describes a relaxed Al3GaAg4 crystal. The functional is PBE-GGA.

Cell: 9.042 3.063 10.052 Å, 90.00 99.19 90.00°
Space group C2/m (No. 12)
Inequivalent atoms, fractional coordinates:
Al 0.000 0.000 0.000
Al 0.005 0.500 0.753
Ga 0.000 0.000 0.500
Ag 0.244 0.000 0.372
Ag 0.248 0.500 0.124

Computed properties:
As for the formation energy: -0.19 eV/f.u. For the energy above the most stable polymorph in this dataset, the calculation gives 0 meV per atom. The magnetic moment is 0.00 μB/f.u. The calculation puts the final energy at -51.702 eV for the cell shown.


# 7
This record from Alexandria describes a relaxed AlGa6Ag8 crystal. The functional is PBE-GGA.

Cell: 8.3836 8.3836 13.8678 Å, 90.00 90.00 120.00°
Space group R-3 (No. 148, hexagonal axes)
Inequivalent atoms, fractional coordinates:
Al 0.0000 0.0000 0.0000
Ga 0.0294 0.8130 0.4071
Ag 0.0000 0.0000 0.2197
Ag 0.0313 0.7435 0.9077

Computed properties:
As for the formation energy: 1.45 eV/f.u. For the energy above the most stable polymorph in this dataset, the calculation gives 61 meV per atom. The magnetic moment is 0.00 μB/f.u. The calculation puts the final energy at -129.794 eV for the cell shown.


# 8
This record from Alexandria describes a relaxed Al2GaAg3 crystal. The functional is PBE-GGA.

Cell: 4.783 8.942 4.800 Å, 90.00 90.00 90.00°
Space group Pmmn (No. 59, origin choice 2)
Inequivalent atoms, fractional coordinates:
Al 0.250 0.086 0.093
Ga 0.250 0.750 0.098
Ag 0.250 0.250 0.592
Ag 0.250 0.579 0.608

Computed properties:
As for the formation energy: -0.31 eV/f.u. For the energy above the most stable polymorph in this dataset, the calculation gives 0 meV per atom. The magnetic moment is 0.00 μB/f.u. The calculation puts the final energy at -38.761 eV for the cell shown.